## SmMnO3 (PBE with a Hubbard U)

Data for a geometry-optimized SmMnO3 structure.

Lattice parameters (Å, degrees): 5.9293 7.5924 5.4218 90.00 90.00 90.00
With the nearest neighbours (Å) after each atom.
Space group Pnma (No. 62)
One atom of each set of equivalent atoms:
Sm: 0.0784 0.2500 0.0174 x4  6 O 2.33-2.57
Mn: 0.0000 0.0000 0.5000 x4  4 O 1.95-1.99
O: 0.0329 0.7500 0.3945 x4  2 Mn 1.99
O: 0.1782 0.5513 0.7931 x8  1 Mn 1.95

Results
Total magnetic moment   16.00 Bohr magnetons per cell
Calculated total energy   -159.7 eV/cell